A plane-wave DFT calculation with GGA-PBE was carried out for a geometry-optimized Na2PaBO6 structure.

Calculated values
Total magnetization ... 0.00 μB per atom
Volume ... 14.48 A^3/atom
Uncorrected formation energy ... -2.28 eV/atom

Cell lengths 5.059, 5.476, 6.362 Å; angles 67.40, 83.07, 63.12 degrees
Space group P1 (No. 1)
Unique sites:
Na  0.000  0.000  0.000
Na  0.200  0.539  0.764
Pa  0.862  0.364  0.415
B  0.554  0.885  0.663
O  0.014  0.327  0.127
O  0.127  0.637  0.361
O  0.252  0.033  0.672
O  0.403  0.569  0.238
O  0.668  0.608  0.645
O  0.738  0.004  0.672


A plane-wave DFT calculation with GGA-PBE was carried out for a geometry-optimized NaPaB2O6 structure.

Calculated values
Total magnetization ... 0.00 μB per atom
Volume ... 10.36 A^3/atom
Uncorrected formation energy ... -2.65 eV/atom

Cell lengths 9.402, 9.293, 4.840 Å; angles 90.00, 101.44, 90.00 degrees
Space group C2/c (No. 15)
Unique sites:
Na  0.000  0.079  0.250
Pa  0.000  0.309  0.750
B  0.215  0.413  0.266
O  0.125  0.290  0.153
O  0.135  0.119  0.683
O  0.162  0.466  0.531


A plane-wave DFT calculation with GGA-PBE was carried out for a geometry-optimized Na3PaB2O8 structure.

Calculated values
Total magnetization ... 0.14 μB per atom
Volume ... 12.80 A^3/atom
Uncorrected formation energy ... -2.20 eV/atom

Cell lengths 5.3952, 5.3952, 7.1097 Å; angles 90.00, 90.00, 120.00 degrees
Space group P-3m1 (No. 164)
Unique sites:
Na  0.0000  0.0000  0.0000
Na  0.3333  0.6667  0.7322
Pa  0.0000  0.0000  0.5000
B  0.3333  0.6667  0.2468
O  0.1835  0.3669  0.3151
O  0.3333  0.6667  0.0438


A plane-wave DFT calculation with GGA-PBE was carried out for a geometry-optimized NaPa2BO8 structure.

Calculated values
Total magnetization ... 0.00 μB per atom
Volume ... 13.27 A^3/atom
Uncorrected formation energy ... -2.28 eV/atom

Cell lengths 4.7809, 4.7809, 8.0420 Å; angles 90.00, 90.00, 120.00 degrees
Space group P-3m1 (No. 164)
Unique sites:
Na  0.0000  0.0000  0.0000
Pa  0.3333  0.6667  0.3456
B  0.0000  0.0000  0.5000
O  0.1620  0.3239  0.6253
O  0.3333  0.6667  0.1091